# 1
Here is TbH6IrPd2 after structural relaxation from Alexandria via LeMat-Bulk. Energies are from PBE-GGA.

a b c (Å): 4.544 4.606 8.987
angles (deg): 90.00 90.01 90.00
Fractional positions:
Pd (0.500, 0.424, 0.248)
Pd (0.500, 0.576, 0.752)
Pd (0.000, 0.924, 0.252)
Pd (0.000, 0.076, 0.748)
H (0.500, 0.328, 0.587)
H (0.746, 0.138, 0.367)
H (0.000, 0.172, 0.087)
H (0.246, 0.638, 0.133)
H (0.000, 0.828, 0.913)
H (0.254, 0.862, 0.633)
H (0.500, 0.672, 0.413)
H (0.754, 0.638, 0.133)
H (0.246, 0.362, 0.867)
H (0.254, 0.138, 0.367)
H (0.754, 0.362, 0.867)
H (0.746, 0.862, 0.633)
Tb (0.000, 0.500, 0.500)
Tb (0.500, 0.000, 0.000)
Ir (0.000, 0.500, 0.000)
Ir (0.500, 0.000, 0.500)

Results
Symmetry   Pnnm, No. 58
Total energy   -4.73 eV/atom
Crystal system   orthorhombic

---

# 2
Here is TeHIrPd2 after structural relaxation from Alexandria via LeMat-Bulk. Energies are from PBE-GGA.

a b c (Å): 4.182 4.182 4.030
angles (deg): 90.00 90.00 90.00
Fractional positions:
Te (0.500, 0.500, 0.500)
Pd (0.500, 0.000, 0.000)
Pd (0.000, 0.500, 0.000)
Ir (0.000, 0.000, 0.500)
H (0.000, 0.000, 0.000)

Results
Symmetry   P4/mmm, No. 123
Total energy   -5.02 eV/atom
Crystal system   tetragonal

---

# 3
Here is TiHIrPd2 after structural relaxation from Alexandria via LeMat-Bulk. Energies are from PBE-GGA.

a b c (Å): 3.851 3.851 4.203
angles (deg): 90.00 90.00 90.00
Fractional positions:
Ti (0.000, 0.000, 0.500)
H (0.000, 0.000, 0.000)
Ir (0.500, 0.500, 0.500)
Pd (0.500, 0.000, 0.000)
Pd (0.000, 0.500, 0.000)

Results
Symmetry   P4/mmm, No. 123
Relative energy among the computed polymorphs   31.7 meV/atom
Total energy   -6.48 eV/atom
Crystal system   tetragonal

---

# 4
Here is TiHIrPd2 after structural relaxation from Alexandria via LeMat-Bulk. Energies are from PBE-GGA.

a b c (Å): 3.917 3.917 4.073
angles (deg): 90.00 90.00 90.00
Fractional positions:
Pd (0.500, 0.000, 0.000)
Pd (0.000, 0.500, 0.000)
Ir (0.000, 0.000, 0.500)
H (0.000, 0.000, 0.000)
Ti (0.500, 0.500, 0.500)

Results
Symmetry   P4/mmm, No. 123
Relative energy among the computed polymorphs   0.0 meV/atom
Total energy   -6.51 eV/atom
Crystal system   tetragonal